Entry 1:
# YAgBi2

A geometry-optimized YAgBi2 structure (PBE, Alexandria via LeMat-Bulk).

Cell lengths 8.3307, 8.3307, 6.5921 Å; angles 90.00, 90.00, 90.00 degrees
Closest atoms and distances in Å follow each position.
Space group I-42d (No. 122)
One atom of each set of equivalent atoms:
Y: 0.0000 0.0000 0.0000 [4 per cell]  4 Bi 3.25, 2 Ag 3.30
Ag: 0.0000 0.0000 0.5000 [4 per cell]  4 Bi 2.88
Bi: 0.2171 0.2500 0.6250 [8 per cell]  2 Ag 2.88

=====

Entry 2:
# YAgBi2

A geometry-optimized YAgBi2 structure (PBE, Alexandria via LeMat-Bulk).

Cell lengths 7.6078, 7.6078, 7.6078 Å; angles 90.00, 90.00, 90.00 degrees
Closest atoms and distances in Å follow each position.
Space group Fm-3m (No. 225)
One atom of each set of equivalent atoms:
Y: 0.0000 0.0000 0.0000 [4 per cell]  8 Bi 3.29
Ag: 0.0000 0.0000 0.5000 [4 per cell]  8 Bi 3.29
Bi: 0.2500 0.2500 0.2500 [8 per cell]  4 Y 3.29, 4 Ag 3.29

=====

Entry 3:
# YAg2Bi

A geometry-optimized YAg2Bi structure (PBE, Alexandria via LeMat-Bulk).

Cell lengths 4.4110, 4.4110, 4.8772 Å; angles 90.00, 90.00, 90.00 degrees
Closest atoms and distances in Å follow each position.
Space group P4/mmm (No. 123)
One atom of each set of equivalent atoms:
Y: 0.0000 0.0000 0.0000 [1 per cell]  4 Bi 3.12, 8 Ag 3.29
Ag: 0.0000 0.5000 0.5000 [2 per cell]  4 Ag 3.12, 4 Bi 3.29, 4 Y 3.29
Bi: 0.5000 0.5000 0.0000 [1 per cell]  4 Y 3.12, 8 Ag 3.29

=====

Entry 4:
# Y2AgBi

A geometry-optimized Y2AgBi structure (PBE, Alexandria via LeMat-Bulk).

Cell lengths 8.0989, 8.0989, 7.1875 Å; angles 90.00, 90.00, 90.00 degrees
Closest atoms and distances in Å follow each position.
Space group I-42d (No. 122)
One atom of each set of equivalent atoms:
Y: 0.2308 0.2500 0.1250 [8 per cell]  2 Ag 2.90, 2 Bi 3.11
Ag: 0.0000 0.0000 0.0000 [4 per cell]  4 Y 2.90
Bi: 0.0000 0.0000 0.5000 [4 per cell]  4 Y 3.11

=====

| no. | VASP energy (eV per atom) |
| --- | --- |
| 1 | -4.5081 |
| 2 | -4.4582 |
| 3 | -4.3390 |
| 4 | -5.1826 |